LiV2Zn2Si2O10: relaxed, PBE+U.

Energy, eV per atom: -6.772
E above lowest polymorph, meV/atom: 55
Spin magnetization, μB per formula unit: 3.0

Unit cell a=4.6477 b=6.3183 c=7.2232 alpha=90.59 beta=92.95 gamma=91.01
Positions (direct):
Li 0.0000 0.0000 0.0000
V 0.5000 0.0000 0.5000
V 0.5000 0.5000 0.5000
Zn 0.0551 0.7265 0.7695
Zn 0.9449 0.2735 0.2305
Si 0.0344 0.2542 0.7475
Si 0.9656 0.7458 0.2525
O 0.0693 0.7352 0.0427
O 0.2093 0.0289 0.7127
O 0.2349 0.4623 0.7060
O 0.2534 0.7467 0.3987
O 0.3202 0.2699 0.3731
O 0.6798 0.7301 0.6269
O 0.7466 0.2533 0.6013
O 0.7651 0.5377 0.2940
O 0.7907 0.9711 0.2873
O 0.9307 0.2648 0.9573